(1)
Below is a relaxed structure of Ce2PaNbN4, with properties calculated at the PBE-GGA level.

Cell lengths 5.8780, 3.4320, 5.9828 Å; angles 90.00, 108.78, 90.00 degrees
With the nearest neighbours (Å) after each atom.
Atoms (fractional coordinates):
Ce: 0.0000 0.0000 0.0000  6 N 2.57
Ce: 0.5000 0.5000 0.0000  6 N 2.48-2.50
Pa: 0.0000 0.5000 0.5000  6 N 2.36-2.38
Nb: 0.5000 0.0000 0.5000  6 N 2.26-2.31
N: 0.2541 0.0000 0.7225  1 Nb 2.26, 2 Pa 2.38, 2 Ce 2.50
N: 0.2701 0.5000 0.2818  2 Nb 2.31, 1 Pa 2.36, 3 Ce 2.48-2.57
N: 0.7299 0.5000 0.7182  2 Nb 2.31, 1 Pa 2.36, 3 Ce 2.48-2.57
N: 0.7459 0.0000 0.2775  1 Nb 2.26, 2 Pa 2.38, 2 Ce 2.50

=====

(2)
Below is a relaxed structure of CePaNbN3, with properties calculated at the PBE-GGA level.

Cell lengths 7.3270, 3.3229, 8.0679 Å; angles 90.00, 93.48, 90.00 degrees
With the nearest neighbours (Å) after each atom.
Atoms (fractional coordinates):
Ce: 0.1376 0.2500 0.1727  7 N 2.46-2.64
Ce: 0.8624 0.7500 0.8273  7 N 2.46-2.64
Pa: 0.3702 0.7500 0.8366  5 N 2.18-2.37
Pa: 0.6298 0.2500 0.1634  5 N 2.18-2.37
Nb: 0.1282 0.2500 0.5680  4 N 2.19-2.30
Nb: 0.8718 0.7500 0.4320  4 N 2.19-2.30
N: 0.1424 0.2500 0.8531  1 Nb 2.30, 2 Pa 2.36
N: 0.1676 0.7500 0.3969  3 Nb 2.19-2.20
N: 0.4035 0.7500 0.1074  3 Pa 2.18-2.37
N: 0.5965 0.2500 0.8926  3 Pa 2.18-2.37
N: 0.8324 0.2500 0.6031  3 Nb 2.19-2.20
N: 0.8576 0.7500 0.1469  1 Nb 2.30, 2 Pa 2.36

=====

(3)
Below is a relaxed structure of Ce2NbPdN5, with properties calculated at the PBE-GGA level.

Cell lengths 6.7502, 6.7502, 10.5404 Å; angles 90.00, 90.00, 151.44 degrees
With the nearest neighbours (Å) after each atom.
Atoms (fractional coordinates):
Ce: 0.1009 0.8991 0.5000  4 N 2.31-2.41
Ce: 0.1444 0.8556 0.1202  8 N 2.41-2.62
Ce: 0.8556 0.1444 0.6202  8 N 2.41-2.62
Ce: 0.8991 0.1009 0.0000  4 N 2.31-2.41
Nb: 0.2050 0.7950 0.8318  6 N 2.02-2.24
Nb: 0.7950 0.2050 0.3318  6 N 2.02-2.24
Pd: 0.4743 0.5257 0.2691  5 N 2.04-2.20
Pd: 0.5257 0.4743 0.7691  5 N 2.04-2.20
N: 0.0606 0.9394 0.8988  1 Nb 2.02, 2 Pd 2.20
N: 0.2759 0.7241 0.4679  2 Nb 2.21, 1 Ce 2.31
N: 0.3192 0.6808 0.1930  1 Pd 2.18, 2 Nb 2.24, 1 Ce 2.41
N: 0.3651 0.6349 0.8112  1 Nb 2.11, 1 Pd 2.15
N: 0.4849 0.5151 0.5821  1 Pd 2.04
N: 0.5151 0.4849 0.0821  1 Pd 2.04
N: 0.6349 0.3651 0.3112  1 Nb 2.11, 1 Pd 2.15
N: 0.6808 0.3192 0.6930  1 Pd 2.18, 2 Nb 2.24, 1 Ce 2.41
N: 0.7241 0.2759 0.9679  2 Nb 2.21, 1 Ce 2.31
N: 0.9394 0.0606 0.3988  1 Nb 2.02, 2 Pd 2.20

=====

(4)
Below is a relaxed structure of Ce3Pm3NbN8, with properties calculated at the PBE-GGA level.

Cell lengths 7.0319, 7.0319, 7.0319 Å; angles 59.64, 59.64, 59.64 degrees
With the nearest neighbours (Å) after each atom.
Atoms (fractional coordinates):
Ce: 0.0000 0.5000 0.5000  6 N 2.45
Ce: 0.5000 0.0000 0.5000  6 N 2.45
Ce: 0.5000 0.5000 0.0000  6 N 2.45
Pm: 0.0000 0.0000 0.5000  6 N 2.51-2.55
Pm: 0.0000 0.5000 0.0000  6 N 2.51-2.55
Pm: 0.5000 0.0000 0.0000  6 N 2.51-2.55
Nb: 0.0000 0.0000 0.0000  6 N 2.18
N: 0.2192 0.2192 0.7703  1 Nb 2.18
N: 0.2192 0.7703 0.2192  1 Nb 2.18
N: 0.2297 0.7808 0.7808  1 Nb 2.18
N: 0.2528 0.2528 0.2528  3 Ce 2.45, 3 Pm 2.51
N: 0.7472 0.7472 0.7472  3 Ce 2.45, 3 Pm 2.51
N: 0.7703 0.2192 0.2192  1 Nb 2.18
N: 0.7808 0.2297 0.7808  1 Nb 2.18
N: 0.7808 0.7808 0.2297  1 Nb 2.18

=====

(5)
Below is a relaxed structure of Ce3Pm2NbN6, with properties calculated at the PBE-GGA level.

Cell lengths 6.0578, 6.0578, 6.0377 Å; angles 99.63, 99.63, 119.97 degrees
With the nearest neighbours (Å) after each atom.
Atoms (fractional coordinates):
Ce: 0.0000 0.0000 0.0000  6 N 2.44-2.62
Ce: 0.3337 0.6663 0.0000  6 N 2.42-2.65
Ce: 0.6663 0.3337 0.0000  6 N 2.42-2.65
Pm: 0.1665 0.8335 0.5000  6 N 2.51-2.52
Pm: 0.8335 0.1665 0.5000  6 N 2.51-2.52
Nb: 0.5000 0.5000 0.5000  6 N 2.30-2.33
N: 0.1153 0.4202 0.2605  1 Nb 2.30, 2 Ce 2.44, 2 Pm 2.51
N: 0.2748 0.2748 0.7456  1 Nb 2.33, 2 Ce 2.42, 2 Pm 2.52
N: 0.4202 0.1153 0.2605  1 Nb 2.30, 2 Ce 2.44, 2 Pm 2.51
N: 0.5798 0.8847 0.7395  1 Nb 2.30, 2 Ce 2.44, 2 Pm 2.51
N: 0.7252 0.7252 0.2544  1 Nb 2.33, 2 Ce 2.42, 2 Pm 2.52
N: 0.8847 0.5798 0.7395  1 Nb 2.30, 2 Ce 2.44, 2 Pm 2.51

=====

(6)
Below is a relaxed structure of Ce2PmNbN5, with properties calculated at the PBE-GGA level.

Cell lengths 7.4168, 7.4168, 10.3884 Å; angles 90.00, 90.00, 152.38 degrees
With the nearest neighbours (Å) after each atom.
Atoms (fractional coordinates):
Ce: 0.1078 0.8922 0.5000  8 N 2.46-2.71
Ce: 0.1334 0.8666 0.0844  5 N 2.37-2.56
Ce: 0.8666 0.1334 0.5844  5 N 2.37-2.56
Ce: 0.8922 0.1078 0.0000  8 N 2.46-2.71
Pm: 0.2210 0.7790 0.8012  4 N 2.35-2.53
Pm: 0.7790 0.2210 0.3012  4 N 2.35-2.53
Nb: 0.4754 0.5246 0.2764  5 N 1.99-2.19
Nb: 0.5246 0.4754 0.7764  5 N 1.99-2.19
N: 0.0517 0.9483 0.8652  2 Nb 2.03
N: 0.2814 0.7186 0.4903  3 Ce 2.37-2.50, 2 Pm 2.65
N: 0.3405 0.6595 0.1784  1 Nb 2.19, 2 Pm 2.35
N: 0.3859 0.6141 0.8362  1 Nb 2.09
N: 0.4821 0.5179 0.5941  1 Nb 1.99
N: 0.5179 0.4821 0.0941  1 Nb 1.99
N: 0.6141 0.3859 0.3362  1 Nb 2.09
N: 0.6595 0.3405 0.6784  1 Nb 2.19, 2 Pm 2.35
N: 0.7186 0.2814 0.9903  3 Ce 2.37-2.50, 2 Pm 2.65
N: 0.9483 0.0517 0.3652  2 Nb 2.03

=====

(7)
Below is a relaxed structure of CePr2NbN4, with properties calculated at the PBE-GGA level.

Cell lengths 6.3567, 6.3567, 12.6963 Å; angles 90.00, 90.00, 148.15 degrees
With the nearest neighbours (Å) after each atom.
Atoms (fractional coordinates):
Ce: 0.0991 0.9009 0.7500  6 N 2.58-2.80
Ce: 0.9009 0.0991 0.2500  6 N 2.58-2.80
Pr: 0.3688 0.6312 0.5358  3 N 2.41-2.47
Pr: 0.3688 0.6312 0.9642  3 N 2.41-2.47
Pr: 0.6312 0.3688 0.0358  3 N 2.41-2.47
Pr: 0.6312 0.3688 0.4642  3 N 2.41-2.47
Nb: 0.1646 0.8354 0.2500  4 N 1.95-2.19
Nb: 0.8354 0.1646 0.7500  4 N 1.95-2.19
N: 0.0000 0.0000 0.0000  4 Pr 2.41
N: 0.0000 0.0000 0.5000  4 Pr 2.41
N: 0.2689 0.7311 0.1335  1 Nb 1.95
N: 0.2689 0.7311 0.3665  1 Nb 1.95
N: 0.4432 0.5568 0.7500  2 Nb 2.19
N: 0.5568 0.4432 0.2500  2 Nb 2.19
N: 0.7311 0.2689 0.6335  1 Nb 1.95
N: 0.7311 0.2689 0.8665  1 Nb 1.95

=====

(8)
Below is a relaxed structure of Ce2PrNbN4, with properties calculated at the PBE-GGA level.

Cell lengths 6.3159, 6.3159, 12.0032 Å; angles 90.00, 90.00, 147.52 degrees
With the nearest neighbours (Å) after each atom.
Atoms (fractional coordinates):
Ce: 0.1315 0.8685 0.5387  5 N 2.38-2.60
Ce: 0.1315 0.8685 0.9613  5 N 2.38-2.60
Ce: 0.8685 0.1315 0.0387  5 N 2.38-2.60
Ce: 0.8685 0.1315 0.4613  5 N 2.38-2.60
Pr: 0.3783 0.6217 0.7500  6 N 2.70-2.72
Pr: 0.6217 0.3783 0.2500  6 N 2.70-2.72
Nb: 0.3570 0.6430 0.2500  4 N 2.06-2.10
Nb: 0.6430 0.3570 0.7500  4 N 2.06-2.10
N: 0.0492 0.9508 0.7500  2 Nb 2.10
N: 0.2379 0.7621 0.1275  1 Nb 2.06
N: 0.2379 0.7621 0.3725  1 Nb 2.06
N: 0.5000 0.5000 0.0000  4 Ce 2.43
N: 0.5000 0.5000 0.5000  4 Ce 2.43
N: 0.7621 0.2379 0.6275  1 Nb 2.06
N: 0.7621 0.2379 0.8725  1 Nb 2.06
N: 0.9508 0.0492 0.2500  2 Nb 2.10

=====

(9)
Below is a relaxed structure of Ce2NbPtN5, with properties calculated at the PBE-GGA level.

Cell lengths 6.7346, 6.7346, 10.5592 Å; angles 90.00, 90.00, 151.33 degrees
With the nearest neighbours (Å) after each atom.
Atoms (fractional coordinates):
Ce: 0.1014 0.8986 0.5000  4 N 2.31-2.41
Ce: 0.1464 0.8536 0.1145  8 N 2.40-2.63
Ce: 0.8536 0.1464 0.6145  8 N 2.40-2.63
Ce: 0.8986 0.1014 0.0000  4 N 2.31-2.41
Nb: 0.2077 0.7923 0.8279  6 N 2.06-2.27
Nb: 0.7923 0.2077 0.3279  6 N 2.06-2.27
Pt: 0.4752 0.5248 0.2635  5 N 2.03-2.20
Pt: 0.5248 0.4752 0.7635  5 N 2.03-2.20
N: 0.0591 0.9409 0.8920  1 Nb 2.06, 2 Pt 2.20
N: 0.2759 0.7241 0.4630  2 Nb 2.20, 1 Ce 2.31
N: 0.3211 0.6789 0.1867  1 Pt 2.17, 2 Nb 2.27, 1 Ce 2.40
N: 0.3658 0.6342 0.8061  1 Nb 2.08, 1 Pt 2.12
N: 0.4838 0.5162 0.5779  1 Pt 2.03
N: 0.5162 0.4838 0.0779  1 Pt 2.03
N: 0.6342 0.3658 0.3061  1 Nb 2.08, 1 Pt 2.12
N: 0.6789 0.3211 0.6867  1 Pt 2.17, 2 Nb 2.27, 1 Ce 2.40
N: 0.7241 0.2759 0.9630  2 Nb 2.20, 1 Ce 2.31
N: 0.9409 0.0591 0.3920  1 Nb 2.06, 2 Pt 2.20

=====

Per-record formation energy from raw total energies, eV per atom: -1.46; -1.14; -0.80; -1.32; -1.40; -1.23; -1.06; -1.14; -0.81